1.
Ca2GaAg: optimized geometry, GGA-PBE.

crystal system	monoclinic
formation energy	-35.4	kJ per mole of atoms
D(E_F)	0.658	states/eV/atom

```
data_Ca2GaAg
_chemical_formula_sum 'Ca4 Ga2 Ag2'
_cell_length_a 5.971
_cell_length_b 4.540
_cell_length_c 8.521
_cell_angle_alpha 90.00
_cell_angle_beta 110.37
_cell_angle_gamma 90.00
_space_group_name_H-M_alt 'P 1 21/m 1'
_space_group_IT_number 11
loop_
_space_group_symop_operation_xyz
'x,y,z'
'-x,-y,-z'
'-x,y+1/2,-z'
'x,-y+1/2,z'
loop_
_atom_site_label
_atom_site_type_symbol
_atom_site_fract_x
_atom_site_fract_y
_atom_site_fract_z
Ca1 Ca 0.211 0.250 0.427
Ca2 Ca 0.214 0.250 0.930
Ga1 Ga 0.359 0.750 0.715
Ag1 Ag 0.372 0.750 0.219
```



2.
CaGdGaAg: optimized geometry, GGA-PBE.

crystal system	cubic
formation energy	-40.2	kJ per mole of atoms
D(E_F)	0.762	states/eV/atom

```
data_CaGdGaAg
_chemical_formula_sum 'Ca4 Gd4 Ga4 Ag4'
_cell_length_a 7.325
_cell_length_b 7.325
_cell_length_c 7.325
_cell_angle_alpha 90.00
_cell_angle_beta 90.00
_cell_angle_gamma 90.00
_space_group_name_H-M_alt 'F -4 3 m'
_space_group_IT_number 216
_space_group_name_Hall 'F -4 2 3'
loop_
_atom_site_label
_atom_site_type_symbol
_atom_site_fract_x
_atom_site_fract_y
_atom_site_fract_z
Ca1 Ca 0.000 0.000 0.000
Gd1 Gd 0.000 0.000 0.500
Ga1 Ga 0.250 0.250 0.750
Ag1 Ag 0.250 0.250 0.250
```



3.
Ca2GaAgH: optimized geometry, GGA-PBE.

crystal system	tetragonal
E above lowest polymorph	0.000	eV/atom
D(E_F)	0.173	states/eV/atom

```
data_Ca2GaAgH
_chemical_formula_sum 'Ca2 Ga1 Ag1 H1'
_cell_length_a 5.100
_cell_length_b 5.100
_cell_length_c 3.895
_cell_angle_alpha 90.00
_cell_angle_beta 90.00
_cell_angle_gamma 90.00
_space_group_name_H-M_alt 'P 4/m m m'
_space_group_IT_number 123
_space_group_name_Hall '-P 4 2'
loop_
_atom_site_label
_atom_site_type_symbol
_atom_site_fract_x
_atom_site_fract_y
_atom_site_fract_z
Ca1 Ca 0.000 0.500 0.000
Ga1 Ga 0.000 0.000 0.500
Ag1 Ag 0.500 0.500 0.500
H1 H 0.500 0.500 0.000
```



| no. | volume (Å³ per atom) |
| --- | --- |
| 1 | 27.07 |
| 2 | 24.57 |
| 3 | 20.26 |